Nd2Ho3Pd2: relaxed, PBE-GGA.

a = 3.7330 Å, b = 6.5861 Å, c = 9.1565 Å
α = 116.56°, β = 90.00°, γ = 106.46°
Closest atoms and distances in Å follow each position.
Atoms (fractional coordinates):
Ho  0.3846  0.7692  0.5580  3 Pd 2.89-2.95
Ho  0.5000  0.0000  0.0000  4 Pd 2.89
Ho  0.6154  0.2308  0.4420  3 Pd 2.89-2.95
Pd  0.8360  0.6721  0.7600  5 Ho 2.89-2.95, 2 Nd 3.17
Pd  0.1640  0.3279  0.2400  5 Ho 2.89-2.95, 2 Nd 3.17
Nd  0.1543  0.3087  0.8131  2 Pd 3.17
Nd  0.8457  0.6913  0.1869  2 Pd 3.17

Summary:
**DOS(E_F)**: 7.9 states/eV/f.u.
**Space group**: C2/m, No. 12
**Theoretical density**: 8.7 g/cm3
**ΔH_f (0 K)**: -0.521 eV per atom
**Total magnetization**: 0.0 μB per formula unit